No. 1
Below is a relaxed Er4Bi3Te crystal, with properties calculated at the PBE level.

Structure (extended XYZ):
```
8
Lattice="5.710 0.005 -2.531 -1.127 5.597 -2.531 -0.027 -0.033 7.645" Properties=species:S:1:pos:R:3 pbc="T T T"
Te 0.000 0.000 0.000
Bi 2.291 2.801 -2.531
Bi 3.987 1.387 1.292
Bi 0.569 4.183 1.292
Er 5.119 2.771 3.849
Er 1.701 5.567 3.849
Er 1.137 1.390 2.568
Er 3.419 4.179 0.015
```

Computed properties:
Its formation energy (no corrections) is -0.935 eV per atom.

***

No. 2
Below is a relaxed Er2BiTe crystal, with properties calculated at the PBE level.

Structure (extended XYZ):
```
4
Lattice="-4.182 0.240 0.921 -2.906 -1.344 -2.854 -2.100 -7.334 2.367" Properties=species:S:1:pos:R:3 pbc="T T T"
Er -2.163 -5.666 1.646
Er -2.299 -2.043 0.080
Bi -6.826 -8.037 1.065
Te -4.593 -4.245 0.228
```

Computed properties:
Its formation energy (no corrections) is -0.979 eV per atom.

***

No. 3
Below is a relaxed ErBiTe3 crystal, with properties calculated at the PBE level.

Structure (extended XYZ):
```
10
Lattice="4.393 0.000 0.000 0.000 7.840 -0.325 0.000 -2.759 11.966" Properties=species:S:1:pos:R:3 pbc="T T T"
Er 1.098 0.537 6.571
Er 3.295 4.544 5.070
Bi 1.098 0.616 1.756
Bi 3.295 4.465 9.886
Te 3.295 -1.284 7.708
Te 3.295 2.556 7.442
Te 1.098 6.364 3.933
Te 1.098 2.525 4.200
Te 1.098 3.113 11.437
Te 3.295 1.968 0.205
```

Computed properties:
Its formation energy (no corrections) is -0.690 eV per atom.

***

No. 4
Below is a relaxed Er4BiTe crystal, with properties calculated at the PBE level.

Structure (extended XYZ):
```
12
Lattice="6.857 -0.790 0.000 -1.946 7.419 0.000 -2.456 -3.315 7.586" Properties=species:S:1:pos:R:3 pbc="T T T"
Er -0.907 4.298 4.273
Er -1.673 5.389 1.063
Er 0.066 0.589 3.314
Er -0.700 1.679 6.523
Er 3.362 -0.984 3.314
Er 2.390 2.726 4.273
Er 4.129 -2.074 6.523
Er 3.156 1.636 1.063
Bi 0.742 3.512 1.637
Bi 1.714 -0.197 5.949
Te 5.143 -0.592 0.859
Te -2.687 3.907 6.727
```

Computed properties:
Its formation energy (no corrections) is -0.536 eV per atom.

***

No. 5
Below is a relaxed Er5Bi4Te crystal, with properties calculated at the PBE level.

Structure (extended XYZ):
```
10
Lattice="4.343 0.000 -0.838 -0.322 6.016 -1.670 0.006 0.001 11.705" Properties=species:S:1:pos:R:3 pbc="T T T"
Er 2.578 0.607 1.689
Er 3.381 1.804 5.848
Er 0.646 4.212 3.348
Er -0.161 3.008 -0.835
Er 1.448 5.410 7.508
Bi 1.616 2.411 8.374
Bi 3.223 4.817 5.030
Bi 0.804 1.200 4.167
Bi 2.411 3.606 0.823
Te 0.000 0.000 0.000
```

Computed properties:
Its formation energy (no corrections) is -0.911 eV per atom.

***

No. 6
Below is a relaxed Er4BiTe2 crystal, with properties calculated at the PBE level.

Structure (extended XYZ):
```
14
Lattice="-2.276 -2.614 -2.331 0.369 -2.825 6.549 -12.226 7.245 3.813" Properties=species:S:1:pos:R:3 pbc="T T T"
Er -8.070 2.821 4.715
Er -6.063 -1.015 3.316
Er -3.206 -2.708 2.425
Er -10.927 4.514 5.607
Er -10.946 0.695 6.166
Er -3.187 1.112 1.865
Er -1.138 -1.307 -1.165
Er -7.251 2.316 0.741
Bi -3.693 -1.611 5.412
Bi -10.439 3.417 2.619
Te -13.195 2.576 6.252
Te -0.938 -0.770 1.779
Te -8.513 -0.198 4.792
Te -5.619 2.004 3.239
```

Computed properties:
Its formation energy (no corrections) is -0.854 eV per atom.

***

No. 7
Below is a relaxed Er3Bi3Te crystal, with properties calculated at the PBE level.

Structure (extended XYZ):
```
14
Lattice="-6.376 1.016 4.091 2.338 -7.263 0.447 4.231 1.366 7.013" Properties=species:S:1:pos:R:3 pbc="T T T"
Er -2.884 -5.591 5.805
Er -1.249 -1.854 8.493
Er 1.677 -4.635 7.269
Er 1.443 -3.028 3.057
Er -1.484 -0.247 4.281
Er 3.078 0.710 5.745
Bi -0.977 -3.274 5.102
Bi 3.053 -5.250 4.539
Bi -2.860 0.369 7.012
Bi 0.375 -5.398 1.267
Bi -4.413 -0.849 3.270
Bi 1.170 -1.608 6.449
Te 0.994 -3.294 9.860
Te -0.801 -1.587 1.691
```

Computed properties:
Its formation energy (no corrections) is -0.633 eV per atom.

***

No. 8
Below is a relaxed ErBiTe2 crystal, with properties calculated at the PBE level.

Structure (extended XYZ):
```
4
Lattice="-0.649 4.113 0.316 -3.436 1.432 1.892 3.388 1.940 9.290" Properties=species:S:1:pos:R:3 pbc="T T T"
Te 1.896 1.911 6.604
Te -2.593 5.574 4.895
Bi 0.000 0.000 0.000
Er -0.349 3.743 5.749
```

Computed properties:
Its formation energy (no corrections) is -0.711 eV per atom.

***

No. 9
Below is a relaxed Er7Bi2Te2 crystal, with properties calculated at the PBE level.

Structure (extended XYZ):
```
11
Lattice="-6.877 1.551 -0.831 -1.393 -2.955 6.100 2.072 5.907 3.347" Properties=species:S:1:pos:R:3 pbc="T T T"
Er 0.668 2.177 3.288
Er -4.468 -1.397 4.072
Er -6.866 2.326 5.328
Er -1.731 5.899 4.543
Er 0.000 0.000 0.000
Er -3.432 1.543 5.772
Er -2.766 2.960 2.844
Bi -4.576 4.544 5.081
Bi -1.622 -0.041 3.535
Te -4.397 2.757 0.331
Te -1.802 1.746 8.285
```

Computed properties:
Its formation energy (no corrections) is -0.370 eV per atom.

***

No. 10
Below is a relaxed Er5Bi4Te crystal, with properties calculated at the PBE level.

Structure (extended XYZ):
```
10
Lattice="-5.509 2.213 1.971 -5.292 0.569 -5.505 -4.881 -5.409 2.356" Properties=species:S:1:pos:R:3 pbc="T T T"
Er -10.989 -2.100 1.442
Er -8.813 -2.108 -2.394
Er -6.880 -0.514 1.219
Er -4.704 -0.522 -2.616
Er -2.762 1.109 0.988
Bi -8.232 -3.220 0.479
Bi -11.580 -1.022 -1.419
Bi -4.113 -1.600 0.245
Bi -7.461 0.598 -1.653
Te -0.007 0.003 0.003
```

Computed properties:
Its formation energy (no corrections) is -0.917 eV per atom.

***

No. 11
Below is a relaxed Er6Bi3Te crystal, with properties calculated at the PBE level.

Structure (extended XYZ):
```
20
Lattice="7.448 0.000 0.000 0.000 9.398 -0.138 0.000 -2.232 9.131" Properties=species:S:1:pos:R:3 pbc="T T T"
Er 1.159 5.429 5.431
Er 4.883 4.082 6.504
Er 1.782 2.213 8.346
Er 5.506 7.641 4.019
Er 1.885 -2.191 9.098
Er 4.684 0.644 6.838
Er 0.960 6.522 2.154
Er 5.609 9.357 -0.105
Er 1.782 -0.475 4.973
Er 5.506 4.954 0.647
Er 1.159 3.084 2.489
Er 4.883 1.738 3.562
Bi 3.684 6.949 6.454
Bi 7.408 4.741 8.214
Bi 2.419 2.558 5.313
Bi 6.143 4.608 3.680
Bi 7.408 0.218 2.538
Bi 3.684 2.426 0.779
Te 7.446 -0.285 7.579
Te 3.722 7.451 1.414
```

Computed properties:
Its formation energy (no corrections) is -0.586 eV per atom.

***

No. 12
Below is a relaxed ErBiTe crystal, with properties calculated at the PBE level.

Structure (extended XYZ):
```
6
Lattice="-5.962 -3.807 2.029 -4.033 -5.824 -1.994 8.370 -1.575 4.803" Properties=species:S:1:pos:R:3 pbc="T T T"
Bi 0.466 -4.980 2.720
Bi -2.091 -6.226 2.118
Er -0.036 -7.828 3.907
Er -1.589 -3.377 0.931
Te 4.205 -4.469 4.257
Te -5.830 -6.736 0.581
```

Computed properties:
Its formation energy (no corrections) is -0.567 eV per atom.

***

No. 13
Below is a relaxed Er3Bi2Te crystal, with properties calculated at the PBE level.

Structure (extended XYZ):
```
12
Lattice="4.333 0.000 0.000 -2.166 7.854 0.000 0.000 0.000 10.200" Properties=species:S:1:pos:R:3 pbc="T T T"
Er 2.166 2.550 0.388
Er 0.000 2.241 7.650
Er 2.166 2.550 4.713
Er 2.166 5.613 2.550
Er 0.000 5.304 9.813
Er 0.000 5.304 5.488
Bi 0.000 0.000 0.000
Bi 0.000 0.000 5.100
Bi 2.166 0.028 2.550
Bi 0.000 7.826 7.650
Te 0.000 3.493 2.550
Te 2.166 4.361 7.650
```

Computed properties:
Its formation energy (no corrections) is -0.656 eV per atom.

***

No. 14
Below is a relaxed Er3Bi2Te crystal, with properties calculated at the PBE level.

Structure (extended XYZ):
```
12
Lattice="-1.955 -4.982 -3.195 9.079 -1.262 -3.587 -5.926 -2.462 7.464" Properties=species:S:1:pos:R:3 pbc="T T T"
Er 2.924 -7.540 -2.106
Er 2.324 -3.186 -2.448
Er -2.076 -7.940 1.577
Er -2.676 -3.586 1.235
Er 1.403 -5.250 1.335
Er -1.154 -5.875 -2.205
Bi 3.890 -5.049 -0.501
Bi 1.336 -5.679 -4.036
Bi -1.088 -5.447 3.165
Bi -3.641 -6.077 -0.370
Te 0.422 -7.738 -0.267
Te -0.174 -3.388 -0.604
```

Computed properties:
Its formation energy (no corrections) is -0.960 eV per atom.

***

No. 15
Below is a relaxed Er5Bi2Te5 crystal, with properties calculated at the PBE level.

Structure (extended XYZ):
```
12
Lattice="4.108 0.000 0.000 -2.054 7.220 0.155 0.000 -3.190 12.968" Properties=species:S:1:pos:R:3 pbc="T T T"
Er 0.000 0.367 5.530
Er 2.054 0.354 10.677
Er 0.000 3.677 2.446
Er 2.054 3.663 7.593
Er 0.000 0.000 0.000
Bi 0.000 -2.052 10.112
Bi 2.054 6.082 3.011
Te 2.054 -1.595 6.484
Te 2.054 2.159 0.645
Te 2.054 2.441 4.661
Te 0.000 1.589 8.462
Te 0.000 1.871 12.478
```

Computed properties:
Its formation energy (no corrections) is -1.043 eV per atom.

***

No. 16
Below is a relaxed Er8Bi3Te4 crystal, with properties calculated at the PBE level.

Structure (extended XYZ):
```
15
Lattice="8.610 -0.125 -0.180 -4.205 7.566 0.160 -4.205 -2.477 7.151" Properties=species:S:1:pos:R:3 pbc="T T T"
Er 2.331 1.273 1.829
Er -4.205 4.957 1.976
Er 6.441 1.177 1.691
Er 0.100 4.992 1.817
Er 0.100 -0.029 5.313
Er -6.242 3.787 5.439
Er -4.205 0.132 5.335
Er -2.132 3.691 5.302
Bi 2.202 3.720 -0.010
Bi 2.202 -1.301 3.485
Bi 0.100 2.482 3.565
Te 4.305 -0.063 -0.090
Te -2.103 3.783 0.080
Te 0.000 0.000 0.000
Te -2.103 -1.238 3.575
```

Computed properties:
Its formation energy (no corrections) is -0.916 eV per atom.

***

No. 17
Below is a relaxed Er3Bi2Te2 crystal, with properties calculated at the PBE level.

Structure (extended XYZ):
```
7
Lattice="4.076 0.000 0.000 0.000 7.755 -0.988 -2.038 -3.402 7.832" Properties=species:S:1:pos:R:3 pbc="T T T"
Er 0.000 3.878 -0.494
Er 0.000 3.959 3.295
Er 2.038 0.395 3.548
Bi 2.038 2.980 5.482
Bi 0.000 1.373 1.362
Te 2.038 5.269 1.336
Te 0.000 -0.915 5.507
```

Computed properties:
Its formation energy (no corrections) is -0.878 eV per atom.

***

No. 18
Below is a relaxed Er6Bi2Te crystal, with properties calculated at the PBE level.

Structure (extended XYZ):
```
18
Lattice="6.507 0.000 0.145 0.000 8.116 0.000 -0.621 0.000 10.255" Properties=species:S:1:pos:R:3 pbc="T T T"
Er 5.444 7.866 2.382
Er 5.260 5.333 5.791
Er 5.108 5.724 9.841
Er 3.721 1.666 5.759
Er 3.569 1.275 9.809
Er 4.006 3.808 2.963
Er 0.442 0.250 8.018
Er 0.626 2.783 4.609
Er 0.778 2.392 0.559
Er 2.165 6.450 4.641
Er 2.317 6.842 0.591
Er 1.880 4.308 7.437
Bi 5.483 3.086 7.953
Bi 3.346 7.144 7.647
Bi 2.540 0.972 2.753
Bi 0.403 5.030 2.447
Te 3.254 4.058 0.073
Te -0.311 0.000 5.128
```

Computed properties:
Its formation energy (no corrections) is -0.572 eV per atom.

***

No. 19
Below is a relaxed Er5BiTe5 crystal, with properties calculated at the PBE level.

Structure (extended XYZ):
```
11
Lattice="-5.768 2.148 -0.115 0.683 -7.105 -2.235 -0.221 -0.132 8.632" Properties=species:S:1:pos:R:3 pbc="T T T"
Er -4.388 -2.968 -0.108
Er -4.503 -3.050 4.135
Er -2.884 1.074 -0.057
Er -0.802 -2.039 2.147
Er -0.917 -2.121 6.390
Bi 0.000 0.000 0.000
Te -3.672 -0.926 2.111
Te -3.798 -1.038 6.341
Te -0.111 -0.066 4.316
Te -1.508 -4.051 -0.059
Te -1.633 -4.163 4.171
```

Computed properties:
Its formation energy (no corrections) is -1.250 eV per atom.

***

No. 20
Below is a relaxed Er3BiTe crystal, with properties calculated at the PBE level.

Structure (extended XYZ):
```
20
Lattice="6.347 0.000 0.000 0.000 8.671 -1.251 0.000 -4.525 11.059" Properties=species:S:1:pos:R:3 pbc="T T T"
Er 0.675 3.225 6.875
Er 5.672 0.921 2.932
Er 3.848 2.993 7.836
Er 2.498 1.152 1.972
Er 4.060 3.469 4.458
Er 2.287 0.677 5.349
Er 0.886 7.275 -0.806
Er 5.460 -3.129 10.613
Er 1.237 4.077 0.660
Er 5.110 0.068 9.147
Er 4.410 6.666 2.992
Er 1.937 -2.521 6.815
Bi 5.150 -2.833 7.447
Bi 1.196 6.978 2.360
Bi 1.977 0.380 8.515
Bi 4.370 3.765 1.292
Te 1.061 3.306 3.786
Te 5.285 0.840 6.021
Te 4.235 7.438 -0.134
Te 2.112 -3.292 9.941
```

Computed properties:
Its formation energy (no corrections) is -0.699 eV per atom.

***

No. 21
Below is a relaxed ErBiTe crystal, with properties calculated at the PBE level.

Structure (extended XYZ):
```
3
Lattice="-1.844 0.869 -3.336 2.222 -2.593 -1.904 -4.052 -3.233 3.689" Properties=species:S:1:pos:R:3 pbc="T T T"
Te -2.351 -2.492 0.650
Bi -0.067 -0.071 0.019
Er -1.256 -2.393 -2.221
```

Computed properties:
Its formation energy (no corrections) is -0.718 eV per atom.